DFT (GGA+U) results for a relaxed Cs3CoF7 crystal.

Structure (POSCAR):
```
Cs3CoF7
1.0
-5.332 3.066 0.826
-3.809 -5.084 -5.715
-2.147 -5.417 6.250
F Cs Co
14 6 2
direct
0.500 0.000 0.000
0.000 0.152 0.652
0.206 0.395 0.895
0.000 0.652 0.848
0.206 0.895 0.605
0.794 0.105 0.395
0.000 0.348 0.152
0.500 0.500 0.500
0.794 0.895 0.605
0.206 0.605 0.105
0.206 0.105 0.395
0.794 0.395 0.895
0.794 0.605 0.105
0.000 0.848 0.348
0.000 0.000 0.000
0.000 0.500 0.500
0.500 0.695 0.805
0.500 0.305 0.195
0.500 0.195 0.695
0.500 0.805 0.305
0.000 0.000 0.500
0.000 0.500 0.000
```

Properties
Total magnetization, μB per cell: 1.95
Calculated total energy, eV/atom: -4.237
Space-group type: P4/mbm, No. 127